Computed, not measured: crystalline Na4Hg2Bi3 at its relaxed geometry at the PBE level of DFT.

a = 9.255 Å, b = 9.255 Å, c = 6.962 Å
α = 92.93°, β = 92.93°, γ = 61.04°
Fractional coordinates of all 18 atoms:
Na 0.174 0.810 0.502
Na 0.190 0.826 0.998
Na 0.204 0.440 0.593
Na 0.440 0.204 0.093
Na 0.560 0.796 0.907
Na 0.796 0.560 0.407
Na 0.810 0.174 0.002
Na 0.826 0.190 0.498
Hg 0.111 0.550 0.144
Hg 0.450 0.889 0.356
Hg 0.550 0.111 0.644
Hg 0.889 0.450 0.856
Bi 0.117 0.201 0.232
Bi 0.201 0.117 0.732
Bi 0.476 0.524 0.250
Bi 0.524 0.476 0.750
Bi 0.799 0.883 0.268
Bi 0.883 0.799 0.768

Properties
density	7.1	g/cm³
D(E_F)	2.72	states/eV/f.u.
DFT formation energy	-0.221	eV per atom

***

Computed, not measured: crystalline CaBi4Pb7 at its relaxed geometry at the PBE level of DFT.

a = 7.208 Å, b = 7.208 Å, c = 12.024 Å
α = 117.95°, β = 117.95°, γ = 51.05°
Fractional coordinates of all 12 atoms:
Ca 0.000 0.000 0.000
Bi 0.267 0.267 0.685
Bi 0.450 0.450 0.255
Bi 0.550 0.550 0.745
Bi 0.733 0.733 0.315
Pb 0.031 0.031 0.377
Pb 0.220 0.220 0.927
Pb 0.321 0.321 0.431
Pb 0.500 0.500 0.000
Pb 0.679 0.679 0.569
Pb 0.780 0.780 0.073
Pb 0.969 0.969 0.623

Properties
density	9.3	g/cm³
D(E_F)	5.97	states/eV/f.u.
DFT formation energy	0.034	eV per atom

***

Computed, not measured: crystalline VFeCo3 at its relaxed geometry at the PBE level of DFT.

a = 4.189 Å, b = 4.189 Å, c = 4.189 Å
α = 90.00°, β = 90.00°, γ = 90.00°
Fractional coordinates of all 5 atoms:
V 0.000 0.000 0.000
Fe 0.500 0.500 0.500
Co 0.000 0.500 0.500
Co 0.500 0.000 0.500
Co 0.500 0.500 0.000

Properties
energy relative to the lowest polymorph listed for this composition	1106	meV/atom
density	6.4	g/cm³
D(E_F)	9.27	states/eV/f.u.
DFT formation energy	1.155	eV per atom

***

Computed, not measured: crystalline Be2InCl at its relaxed geometry at the PBE level of DFT.

a = 3.452 Å, b = 3.452 Å, c = 7.534 Å
α = 90.00°, β = 90.00°, γ = 127.07°
Fractional coordinates of all 4 atoms:
Be 0.000 0.000 0.233
Be 0.000 0.000 0.767
In 0.500 0.500 0.500
Cl 0.500 0.500 0.000

Properties
energy relative to the lowest polymorph listed for this composition	263	meV/atom
density	3.9	g/cm³
D(E_F)	1.22	states/eV/f.u.
uncorrected formation energy	0.457	eV/atom